[1]
{
  "formula": "PrBe",
  "functional": "PBE-GGA",
  "state": "relaxed",
  "cell": [[2.473, -4.296, 0.000], [2.473, 4.296, 0.000], [0.000, 0.000, 4.134]],
  "species": ["Pr", "Pr", "Be", "Be"],
  "fractional_positions": [[0.167, 0.833, 0.750], [0.833, 0.167, 0.250], [0.499, 0.501, 0.750], [0.501, 0.499, 0.250]],
  "rho_g_cm3": 5.67,
  "energy_ev_per_cell": -16.78,
  "spacegroup": "Cmcm (63)"
}



[2]
{
  "formula": "Pr2Be4Pt5",
  "functional": "PBE-GGA",
  "state": "relaxed",
  "cell": [[0.000, 4.764, 6.867], [2.776, 0.000, 6.867], [2.776, 4.764, 0.000]],
  "species": ["Pr", "Pr", "Be", "Be", "Be", "Be", "Pt", "Pt", "Pt", "Pt", "Pt"],
  "fractional_positions": [[0.133, 0.133, 0.867], [0.867, 0.867, 0.133], [0.208, 0.538, 0.462], [0.462, 0.792, 0.208], [0.538, 0.208, 0.792], [0.792, 0.462, 0.538], [0.000, 0.000, 0.500], [0.250, 0.250, 0.250], [0.500, 0.500, 0.000], [0.500, 0.500, 0.500], [0.750, 0.750, 0.750]],
  "rho_g_cm3": 11.82,
  "energy_ev_per_cell": -64.39,
  "spacegroup": "Fmmm (69)"
}



[3]
{
  "formula": "Pr2Be2Pt5",
  "functional": "PBE-GGA",
  "state": "relaxed",
  "cell": [[4.146, 0.000, 0.000], [0.000, 4.146, 0.000], [0.000, 0.000, 9.199]],
  "species": ["Pr", "Pr", "Be", "Be", "Pt", "Pt", "Pt", "Pt", "Pt"],
  "fractional_positions": [[0.000, 0.000, 0.000], [0.000, 0.000, 0.500], [0.500, 0.500, 0.145], [0.500, 0.500, 0.855], [0.000, 0.500, 0.256], [0.000, 0.500, 0.744], [0.500, 0.000, 0.256], [0.500, 0.000, 0.744], [0.500, 0.500, 0.500]],
  "rho_g_cm3": 13.39,
  "energy_ev_per_cell": -54.94,
  "spacegroup": "P4/mmm (123)"
}



[4]
{
  "formula": "PrBe3Pt3",
  "functional": "PBE-GGA",
  "state": "relaxed",
  "cell": [[6.207, 0.000, 0.000], [0.000, 6.207, 0.000], [0.000, 0.000, 6.207]],
  "species": ["Pr", "Pr", "Be", "Be", "Be", "Be", "Be", "Be", "Pt", "Pt", "Pt", "Pt", "Pt", "Pt"],
  "fractional_positions": [[0.000, 0.000, 0.000], [0.500, 0.500, 0.500], [0.000, 0.250, 0.500], [0.000, 0.750, 0.500], [0.250, 0.500, 0.000], [0.500, 0.000, 0.250], [0.500, 0.000, 0.750], [0.750, 0.500, 0.000], [0.000, 0.500, 0.250], [0.000, 0.500, 0.750], [0.250, 0.000, 0.500], [0.500, 0.250, 0.000], [0.500, 0.750, 0.000], [0.750, 0.000, 0.500]],
  "rho_g_cm3": 10.46,
  "energy_ev_per_cell": -76.00,
  "spacegroup": "Pm-3n (223)"
}



[5]
{
  "formula": "PrBePt4",
  "functional": "PBE-GGA",
  "state": "relaxed",
  "cell": [[7.559, 0.000, 0.000], [0.000, 3.941, 0.000], [0.000, 0.000, 6.848]],
  "species": ["Pr", "Pr", "Be", "Be", "Pt", "Pt", "Pt", "Pt", "Pt", "Pt", "Pt", "Pt"],
  "fractional_positions": [[0.250, 0.000, 0.119], [0.750, 0.000, 0.881], [0.250, 0.000, 0.688], [0.750, 0.000, 0.312], [0.000, 0.000, 0.500], [0.063, 0.500, 0.805], [0.250, 0.500, 0.456], [0.437, 0.500, 0.805], [0.500, 0.000, 0.500], [0.563, 0.500, 0.195], [0.750, 0.500, 0.544], [0.937, 0.500, 0.195]],
  "rho_g_cm3": 15.14,
  "energy_ev_per_cell": -74.56,
  "spacegroup": "Pmma (51)"
}



[6]
{
  "formula": "PrBe3Pt",
  "functional": "PBE-GGA",
  "state": "relaxed",
  "cell": [[4.342, 0.000, 0.000], [0.000, 4.342, 0.000], [0.000, 0.000, 4.342]],
  "species": ["Pr", "Be", "Be", "Be", "Pt"],
  "fractional_positions": [[0.000, 0.000, 0.000], [0.000, 0.500, 0.500], [0.500, 0.000, 0.500], [0.500, 0.500, 0.000], [0.500, 0.500, 0.500]],
  "rho_g_cm3": 7.36,
  "energy_ev_per_cell": -23.84,
  "spacegroup": "Pm-3m (221)"
}



[7]
{
  "formula": "PrBe2Pt4",
  "functional": "PBE-GGA",
  "state": "relaxed",
  "cell": [[7.623, 0.000, 0.000], [0.000, 7.623, 0.000], [0.000, 0.000, 3.807]],
  "species": ["Pr", "Pr", "Be", "Be", "Be", "Be", "Pt", "Pt", "Pt", "Pt", "Pt", "Pt", "Pt", "Pt"],
  "fractional_positions": [[0.000, 0.000, 0.000], [0.500, 0.500, 0.500], [0.230, 0.230, 0.500], [0.270, 0.730, 0.000], [0.730, 0.270, 0.000], [0.770, 0.770, 0.500], [0.077, 0.673, 0.500], [0.173, 0.423, 0.000], [0.327, 0.923, 0.500], [0.423, 0.173, 0.000], [0.577, 0.827, 0.000], [0.673, 0.077, 0.500], [0.827, 0.577, 0.000], [0.923, 0.327, 0.500]],
  "rho_g_cm3": 14.10,
  "energy_ev_per_cell": -83.93,
  "spacegroup": "P4_2/mnm (136)"
}



[8]
{
  "formula": "Pr2Be3Pt12Rh",
  "functional": "PBE-GGA",
  "state": "relaxed",
  "cell": [[3.968, 2.291, 6.200], [-3.968, 2.291, 6.200], [0.000, -4.582, 6.200]],
  "species": ["Pr", "Pr", "Be", "Be", "Be", "Pt", "Pt", "Pt", "Pt", "Pt", "Pt", "Pt", "Pt", "Pt", "Pt", "Pt", "Pt", "Rh"],
  "fractional_positions": [[0.110, 0.110, 0.110], [0.890, 0.890, 0.890], [0.000, 0.500, 0.500], [0.500, 0.000, 0.500], [0.500, 0.500, 0.000], [0.109, 0.628, 0.628], [0.149, 0.149, 0.603], [0.149, 0.603, 0.149], [0.372, 0.372, 0.891], [0.372, 0.891, 0.372], [0.397, 0.851, 0.851], [0.603, 0.149, 0.149], [0.628, 0.109, 0.628], [0.628, 0.628, 0.109], [0.851, 0.397, 0.851], [0.851, 0.851, 0.397], [0.891, 0.372, 0.372], [0.500, 0.500, 0.500]],
  "rho_g_cm3": 13.52,
  "energy_ev_per_cell": -105.72,
  "spacegroup": "R-3m (166)"
}



[9]
{
  "formula": "PrBe4Pt2Rh",
  "functional": "PBE-GGA",
  "state": "relaxed",
  "cell": [[1.973, 1.139, 8.391], [-1.973, 1.139, 8.391], [0.000, -2.278, 8.391]],
  "species": ["Pr", "Be", "Be", "Be", "Be", "Pt", "Pt", "Rh"],
  "fractional_positions": [[0.000, 0.000, 0.000], [0.135, 0.135, 0.135], [0.412, 0.412, 0.412], [0.588, 0.588, 0.588], [0.865, 0.865, 0.865], [0.238, 0.238, 0.238], [0.762, 0.762, 0.762], [0.500, 0.500, 0.500]],
  "rho_g_cm3": 9.83,
  "energy_ev_per_cell": -44.53,
  "spacegroup": "R-3m (166)"
}



[10]
{
  "formula": "Pr2Be4Pt3Rh",
  "functional": "PBE-GGA",
  "state": "relaxed",
  "cell": [[4.097, 0.000, 0.000], [0.000, 4.097, 0.000], [0.000, 0.000, 9.595]],
  "species": ["Pr", "Pr", "Be", "Be", "Be", "Be", "Pt", "Pt", "Pt", "Rh"],
  "fractional_positions": [[0.000, 0.500, 0.247], [0.500, 0.000, 0.753], [0.000, 0.000, 0.500], [0.000, 0.500, 0.883], [0.500, 0.000, 0.117], [0.500, 0.500, 0.500], [0.000, 0.000, 0.000], [0.000, 0.500, 0.622], [0.500, 0.000, 0.378], [0.500, 0.500, 0.000]],
  "rho_g_cm3": 10.37,
  "energy_ev_per_cell": -57.87,
  "spacegroup": "P-4m2 (115)"
}



[11]
{
  "formula": "Pr2BeSbPt6",
  "functional": "PBE-GGA",
  "state": "relaxed",
  "cell": [[0.000, 4.698, 4.698], [4.698, 0.000, 4.698], [4.698, 4.698, 0.000]],
  "species": ["Pr", "Pr", "Be", "Sb", "Pt", "Pt", "Pt", "Pt", "Pt", "Pt"],
  "fractional_positions": [[0.250, 0.250, 0.250], [0.750, 0.750, 0.750], [0.000, 0.000, 0.000], [0.500, 0.500, 0.500], [0.228, 0.228, 0.772], [0.228, 0.772, 0.228], [0.228, 0.772, 0.772], [0.772, 0.228, 0.228], [0.772, 0.228, 0.772], [0.772, 0.772, 0.228]],
  "rho_g_cm3": 12.68,
  "energy_ev_per_cell": -59.16,
  "spacegroup": "Fm-3m (225)",
  "formation_energy_uncorrected_ev_per_atom": -0.55
}



[12]
{
  "formula": "Pr3Be2SbPt9",
  "functional": "PBE-GGA",
  "state": "relaxed",
  "cell": [[5.939, 0.000, 0.000], [-2.970, 5.144, 0.000], [0.000, 0.000, 9.489]],
  "species": ["Pr", "Pr", "Pr", "Be", "Be", "Sb", "Pt", "Pt", "Pt", "Pt", "Pt", "Pt", "Pt", "Pt", "Pt"],
  "fractional_positions": [[0.000, 0.000, 0.000], [0.333, 0.667, 0.637], [0.667, 0.333, 0.363], [0.333, 0.667, 0.144], [0.667, 0.333, 0.856], [0.000, 0.000, 0.500], [0.000, 0.500, 0.000], [0.166, 0.332, 0.286], [0.166, 0.834, 0.286], [0.332, 0.166, 0.714], [0.500, 0.000, 0.000], [0.500, 0.500, 0.000], [0.668, 0.834, 0.286], [0.834, 0.166, 0.714], [0.834, 0.668, 0.714]],
  "rho_g_cm3": 13.28,
  "energy_ev_per_cell": -91.44,
  "spacegroup": "P-3m1 (164)",
  "formation_energy_uncorrected_ev_per_atom": -0.74
}